VASP calculation (GGA-PBE) on Nd8PbSe6 after structural relaxation.

Cell: 4.2435 10.9396 10.9396 Å, 120.00 90.00 90.00°
Closest atoms and distances in Å follow each position.
Atoms (fractional coordinates):
Nd  0.7471  0.9645  0.2939  4 Se 2.89-3.11
Nd  0.7471  0.7061  0.6705  4 Se 2.89-3.11
Nd  0.7471  0.3295  0.0355  4 Se 2.89-3.11
Nd  0.2529  0.0355  0.7061  4 Se 2.89-3.11
Nd  0.2529  0.2939  0.3295  4 Se 2.89-3.11
Nd  0.2529  0.6705  0.9645  4 Se 2.89-3.11
Nd  0.7485  0.3333  0.6667  6 Se 2.98-2.99
Nd  0.2515  0.6667  0.3333  6 Se 2.98-2.99
Pb  0.5000  0.0000  0.0000  6 Nd 3.58
Se  0.7502  0.6498  0.1331  6 Nd 2.89-3.11
Se  0.7502  0.8669  0.5167  6 Nd 2.89-3.11
Se  0.7502  0.4833  0.3502  6 Nd 2.89-3.11
Se  0.2498  0.3502  0.8669  6 Nd 2.89-3.11
Se  0.2498  0.1331  0.4833  6 Nd 2.89-3.11
Se  0.2498  0.5167  0.6498  6 Nd 2.89-3.11

Results
Fermi-level density of states = 12.35 states/eV per cell
symmetry = No. 147
total magnetic moment = 0.0 μB/f.u.
E_form (uncorrected) = -1.398 eV per atom
theoretical density = 6.928 g/cm³